(1)
A relaxed YTaCu2 crystal. Source: Alexandria via LeMat-Bulk, functional GGA-PBEsol.

POSCAR file:
```
YTaCu2
1.0
4.606 0.000 0.000
0.000 4.606 0.000
0.000 0.000 3.158
Y Ta Cu
1 1 2
Direct
0.000 0.000 0.000 Y
0.500 0.500 0.000 Ta
0.000 0.500 0.500 Cu
0.500 0.000 0.500 Cu
```

Space group ... P4/mmm, No. 123
Electronic total energy ... -6.85 eV/atom
Formation enthalpy at 0 K ... 63 kJ/mol of formula units
Polymorph energy (0 for the lowest one) ... 0.0401 eV per atom

=====

(2)
A relaxed Cr3NF crystal. Source: Alexandria via LeMat-Bulk, functional GGA-PBEsol.

POSCAR file:
```
Cr3NF
1.0
3.768 0.000 0.000
0.000 3.768 0.000
0.000 0.000 3.768
Cr N F
3 1 1
Direct
0.000 0.000 0.500 Cr
0.000 0.500 0.000 Cr
0.500 0.000 0.000 Cr
0.000 0.000 0.000 N
0.500 0.500 0.500 F
```

Space group ... Pm-3m, No. 221
ΔE_f (raw) ... 7 kJ per mole of atoms
Electronic total energy ... -8.16 eV/atom

=====

(3)
A relaxed RuSe crystal. Source: Alexandria via LeMat-Bulk, functional GGA-PBEsol.

POSCAR file:
```
RuSe
1.0
1.541 -5.137 0.000
1.541 5.137 0.000
0.000 0.000 3.848
Ru Se
2 2
Direct
0.097 0.903 0.750 Ru
0.903 0.097 0.250 Ru
0.346 0.654 0.750 Se
0.654 0.346 0.250 Se
```

Space group ... Cmcm, No. 63
ΔE_f (raw) ... 13 kJ per mole of atoms
Electronic total energy ... -6.88 eV/atom

=====

(4)
A relaxed Ce2Dy2O7 crystal. Source: Alexandria via LeMat-Bulk, functional GGA-PBEsol.

POSCAR file:
```
Ce2Dy2O7
1.0
7.671 0.000 0.000
0.000 3.715 0.000
0.000 0.000 10.753
Ce Dy O
4 4 14
Direct
0.000 0.000 0.000 Ce
0.250 0.500 0.255 Ce
0.500 0.000 0.000 Ce
0.750 0.500 0.745 Ce
0.000 0.000 0.500 Dy
0.250 0.500 0.769 Dy
0.500 0.000 0.500 Dy
0.750 0.500 0.231 Dy
0.010 0.500 0.123 O
0.041 0.500 0.625 O
0.250 0.000 0.134 O
0.250 0.000 0.392 O
0.250 0.000 0.873 O
0.459 0.500 0.625 O
0.490 0.500 0.123 O
0.510 0.500 0.877 O
0.541 0.500 0.375 O
0.750 0.000 0.127 O
0.750 0.000 0.608 O
0.750 0.000 0.866 O
0.959 0.500 0.375 O
0.990 0.500 0.877 O
```

Space group ... Pmma, No. 51
ΔE_f (raw) ... -336 kJ per mole of atoms
Electronic total energy ... -8.93 eV/atom
Polymorph energy (0 for the lowest one) ... 0.0000 eV per atom

=====

(5)
A relaxed BaNd2Se4 crystal. Source: Alexandria via LeMat-Bulk, functional GGA-PBEsol.

POSCAR file:
```
BaNd2Se4
1.0
-4.531 4.531 4.521
4.531 -4.531 4.521
4.531 4.531 -4.521
Ba Nd Se
2 4 8
Direct
0.000 0.000 0.000 Ba
0.750 0.250 0.500 Ba
0.249 0.125 0.624 Nd
0.375 0.751 0.876 Nd
0.501 0.625 0.376 Nd
0.875 0.499 0.124 Nd
0.141 0.395 0.414 Se
0.145 0.391 0.914 Se
0.272 0.859 0.253 Se
0.478 0.231 0.086 Se
0.605 0.019 0.747 Se
0.609 0.522 0.753 Se
0.769 0.855 0.247 Se
0.981 0.728 0.586 Se
```

Space group ... I-42d, No. 122
ΔE_f (raw) ... -188 kJ per mole of atoms
Electronic total energy ... -5.94 eV/atom

=====

(6)
A relaxed Li2TlPd2 crystal. Source: Alexandria via LeMat-Bulk, functional GGA-PBEsol.

POSCAR file:
```
Li2TlPd2
1.0
7.166 0.000 0.000
0.000 7.166 0.000
0.000 0.000 3.037
Li Tl Pd
4 2 4
Direct
0.158 0.342 0.000 Li
0.342 0.842 0.000 Li
0.658 0.158 0.000 Li
0.842 0.658 0.000 Li
0.000 0.000 0.500 Tl
0.500 0.500 0.500 Tl
0.137 0.637 0.500 Pd
0.363 0.137 0.500 Pd
0.637 0.863 0.500 Pd
0.863 0.363 0.500 Pd
```

Space group ... P4/mbm, No. 127
Electronic total energy ... -4.01 eV/atom
Formation enthalpy at 0 K ... -151 kJ/mol of formula units

=====

- The highest electronic total energy belongs to which entry?
  Li2TlPd2

=====

- Which of these has the lowest electronic total energy?
  Ce2Dy2O7

=====

- Which formula does entry 6 have?
  Li2TlPd2